# CrH12PdN4O4 (GGA+U, optimized geometry)
data_CrH12PdN4O4
_chemical_formula_sum 'Cr2 H24 Pd2 N8 O8'
_cell_length_a 9.373
_cell_length_b 9.373
_cell_length_c 9.373
_cell_angle_alpha 133.65
_cell_angle_beta 133.65
_cell_angle_gamma 67.63
_symmetry_space_group_name_H-M 'P 1'
_symmetry_Int_Tables_number 1
_symmetry_space_group_name_Hall 'P 1'
loop_
_atom_site_label
_atom_site_type_symbol
_atom_site_fract_x
_atom_site_fract_y
_atom_site_fract_z
H1 H 0.009 0.820 0.189
H2 H 0.889 0.840 0.275
H3 H 0.386 0.435 0.275
H4 H 0.889 0.614 0.049
H5 H 0.180 0.991 0.811
H6 H 0.119 0.430 0.689
H7 H 0.364 0.139 0.549
H8 H 0.570 0.881 0.311
H9 H 0.180 0.369 0.189
H10 H 0.590 0.139 0.775
H11 H 0.565 0.614 0.725
H12 H 0.160 0.111 0.725
H13 H 0.386 0.111 0.951
H14 H 0.741 0.430 0.311
H15 H 0.565 0.840 0.951
H16 H 0.570 0.259 0.689
H17 H 0.185 0.410 0.549
H18 H 0.590 0.815 0.451
H19 H 0.185 0.636 0.775
H20 H 0.861 0.636 0.451
H21 H 0.160 0.435 0.049
H22 H 0.364 0.815 0.225
H23 H 0.631 0.820 0.811
H24 H 0.861 0.410 0.225
O1 O 0.997 0.311 0.686
O2 O 0.625 0.311 0.314
O3 O 0.061 0.875 0.814
O4 O 0.689 0.375 0.686
O5 O 0.689 0.003 0.314
O6 O 0.125 0.939 0.186
O7 O 0.753 0.939 0.814
O8 O 0.061 0.247 0.186
Pd1 Pd 0.250 0.750 0.500
Pd2 Pd 0.500 0.500 0.000
N1 N 0.245 0.466 0.221
N2 N 0.216 0.495 0.721
N3 N 0.975 0.755 0.221
N4 N 0.245 0.025 0.779
N5 N 0.505 0.225 0.721
N6 N 0.534 0.755 0.779
N7 N 0.775 0.495 0.279
N8 N 0.505 0.784 0.279
Cr1 Cr 0.750 0.250 0.500
Cr2 Cr 0.000 0.000 0.000
# - N(E_F): 0.0 states/eV/f.u.
# - Size of the total moment: 0.07 μB per formula unit
# - E_tot: -5.46 eV per atom

# CrH10S2N4O8 (GGA+U, optimized geometry)
data_CrH10S2N4O8
_chemical_formula_sum 'Cr1 H10 S2 N4 O8'
_cell_length_a 5.574
_cell_length_b 5.785
_cell_length_c 7.411
_cell_angle_alpha 90.96
_cell_angle_beta 103.06
_cell_angle_gamma 97.17
_symmetry_space_group_name_H-M 'P 1'
_symmetry_Int_Tables_number 1
_symmetry_space_group_name_Hall 'P 1'
loop_
_atom_site_label
_atom_site_type_symbol
_atom_site_fract_x
_atom_site_fract_y
_atom_site_fract_z
H1 H 0.558 0.196 0.703
H2 H 0.737 0.438 0.818
H3 H 0.918 0.696 0.272
H4 H 0.442 0.804 0.297
H5 H 0.895 0.073 0.628
H6 H 0.704 0.398 0.583
H7 H 0.105 0.927 0.372
H8 H 0.263 0.562 0.182
H9 H 0.082 0.304 0.728
H10 H 0.296 0.602 0.417
N1 N 0.070 0.813 0.258
N2 N 0.930 0.187 0.742
N3 N 0.281 0.684 0.289
N4 N 0.719 0.316 0.711
O1 O 0.600 0.759 0.892
O2 O 0.672 0.036 0.341
O3 O 0.712 0.461 0.355
O4 O 0.288 0.539 0.645
O5 O 0.400 0.241 0.108
O6 O 0.328 0.964 0.659
O7 O 0.156 0.739 0.888
O8 O 0.844 0.261 0.112
S1 S 0.652 0.247 0.228
S2 S 0.348 0.753 0.772
Cr1 Cr 0.000 0.000 0.000
# - N(E_F): 0.0 states/eV/f.u.
# - Size of the total moment: 4.00 μB per formula unit
# - E_tot: -5.74 eV per atom